# 1
! CeTcP PBE optimized geometry; values from VASP
! Symmetry: P4/nmm
! Magnetic moment in μB per cell: 1.20
! ΔE to the lowest computed polymorph in meV/atom: 0
! Density of states at the Fermi level in states/eV per cell: 10.61
! Formation energy from the elements in meV/atom: -853
&SYSTEM
  ibrav = 0, nat = 6, ntyp = 3
/
ATOMIC_SPECIES
Ce 140.12 Ce.upf
Tc 98.00 Tc.upf
P 30.97 P.upf
CELL_PARAMETERS angstrom
4.157 0.000 0.000
0.000 4.157 0.000
0.000 0.000 6.676
ATOMIC_POSITIONS crystal
Ce 0.250 0.250 0.173
Ce 0.750 0.750 0.827
Tc 0.250 0.750 0.500
Tc 0.750 0.250 0.500
P 0.250 0.250 0.691
P 0.750 0.750 0.309


# 2
! Li2CaHAu PBE optimized geometry; values from VASP
! Final energy in eV per atom: -2.904
! Symmetry: P4/mmm
! Magnetic moment in μB per cell: 0.00
! Density of states at the Fermi level in states/eV per cell: 2.93
&SYSTEM
  ibrav = 0, nat = 5, ntyp = 4
/
ATOMIC_SPECIES
Li 6.94 Li.upf
Ca 40.08 Ca.upf
H 1.01 H.upf
Au 196.97 Au.upf
CELL_PARAMETERS angstrom
4.215 0.000 0.000
0.000 4.215 0.000
0.000 0.000 4.696
ATOMIC_POSITIONS crystal
Li 0.000 0.500 0.000
Li 0.500 0.000 0.000
Ca 0.000 0.000 0.500
H 0.000 0.000 0.000
Au 0.500 0.500 0.500


# 3
! LiCu2Ir PBE optimized geometry; values from VASP
! Symmetry: R3m
! Magnetic moment in μB per cell: 0.00
! ΔE to the lowest computed polymorph in meV/atom: 96
! Density of states at the Fermi level in states/eV per cell: 3.41
! Formation energy from the elements in meV/atom: 5
&SYSTEM
  ibrav = 0, nat = 4, ntyp = 3
/
ATOMIC_SPECIES
Li 6.94 Li.upf
Cu 63.55 Cu.upf
Ir 192.22 Ir.upf
CELL_PARAMETERS angstrom
1.323 0.764 8.666
-1.323 0.764 8.666
0.000 -1.528 8.666
ATOMIC_POSITIONS crystal
Li 0.000 0.000 0.000
Cu 0.248 0.248 0.248
Cu 0.503 0.503 0.503
Ir 0.751 0.751 0.751


# 4
! HfNb2Mo2 PBE optimized geometry; values from VASP
! Symmetry: P2_1/m
! Magnetic moment in μB per cell: 0.00
! Density of states at the Fermi level in states/eV per cell: 12.11
! Formation energy from the elements in meV/atom: -79
&SYSTEM
  ibrav = 0, nat = 10, ntyp = 3
/
ATOMIC_SPECIES
Hf 178.49 Hf.upf
Nb 92.91 Nb.upf
Mo 95.94 Mo.upf
CELL_PARAMETERS angstrom
3.287 0.000 0.000
0.000 4.688 0.000
-1.678 0.000 11.511
ATOMIC_POSITIONS crystal
Hf 0.147 0.250 0.295
Hf 0.853 0.750 0.705
Nb 0.049 0.750 0.098
Nb 0.243 0.750 0.487
Nb 0.757 0.250 0.513
Nb 0.951 0.250 0.902
Mo 0.351 0.250 0.703
Mo 0.454 0.750 0.907
Mo 0.546 0.250 0.093
Mo 0.649 0.750 0.297


# 5
! Tb3DyCd PBE optimized geometry; values from VASP
! Symmetry: C2/c
! Magnetic moment in μB per cell: 0.00
! ΔE to the lowest computed polymorph in meV/atom: 84
! Density of states at the Fermi level in states/eV per cell: 27.11
! Formation energy from the elements in meV/atom: -27
&SYSTEM
  ibrav = 0, nat = 20, ntyp = 3
/
ATOMIC_SPECIES
Tb 158.93 Tb.upf
Dy 162.50 Dy.upf
Cd 112.41 Cd.upf
CELL_PARAMETERS angstrom
7.352 -6.448 0.000
7.352 6.448 0.000
-1.602 0.000 6.311
ATOMIC_POSITIONS crystal
Tb 0.032 0.173 0.455
Tb 0.125 0.497 0.362
Tb 0.173 0.032 0.955
Tb 0.227 0.372 0.858
Tb 0.372 0.227 0.358
Tb 0.497 0.125 0.862
Tb 0.503 0.875 0.138
Tb 0.628 0.773 0.642
Tb 0.773 0.628 0.142
Tb 0.827 0.968 0.045
Tb 0.875 0.503 0.638
Tb 0.968 0.827 0.545
Dy 0.100 0.711 0.029
Dy 0.289 0.900 0.471
Dy 0.711 0.100 0.529
Dy 0.900 0.289 0.971
Cd 0.341 0.659 0.750
Cd 0.422 0.578 0.250
Cd 0.578 0.422 0.750
Cd 0.659 0.341 0.250


# 6
! Ca2Sb2Rh5Pb PBE optimized geometry; values from VASP
! Symmetry: P4/mbm
! Magnetic moment in μB per cell: 0.00
! Density of states at the Fermi level in states/eV per cell: 7.93
! E_form (uncorrected) in meV per atom: -445.7
&SYSTEM
  ibrav = 0, nat = 20, ntyp = 4
/
ATOMIC_SPECIES
Ca 40.08 Ca.upf
Sb 121.76 Sb.upf
Rh 102.91 Rh.upf
Pb 207.20 Pb.upf
CELL_PARAMETERS angstrom
10.183 0.000 0.000
0.000 10.183 0.000
0.000 0.000 3.804
ATOMIC_POSITIONS crystal
Ca 0.172 0.328 0.000
Ca 0.328 0.828 0.000
Ca 0.672 0.172 0.000
Ca 0.828 0.672 0.000
Sb 0.127 0.627 0.000
Sb 0.373 0.127 0.000
Sb 0.627 0.873 0.000
Sb 0.873 0.373 0.000
Rh 0.000 0.500 0.500
Rh 0.067 0.793 0.500
Rh 0.207 0.067 0.500
Rh 0.293 0.567 0.500
Rh 0.433 0.293 0.500
Rh 0.500 0.000 0.500
Rh 0.567 0.707 0.500
Rh 0.707 0.433 0.500
Rh 0.793 0.933 0.500
Rh 0.933 0.207 0.500
Pb 0.000 0.000 0.000
Pb 0.500 0.500 0.000


# 7
! PrHo3C2 PBE optimized geometry; values from VASP
! Symmetry: C2/m
! Magnetic moment in μB per cell: 1.44
! Density of states at the Fermi level in states/eV per cell: 9.85
! Formation energy from the elements in meV/atom: -224
&SYSTEM
  ibrav = 0, nat = 12, ntyp = 3
/
ATOMIC_SPECIES
Pr 140.91 Pr.upf
Ho 164.93 Ho.upf
C 12.01 C.upf
CELL_PARAMETERS angstrom
6.267 -3.615 0.000
6.267 3.615 0.000
-4.151 0.000 6.251
ATOMIC_POSITIONS crystal
Pr 0.247 0.247 0.242
Pr 0.753 0.753 0.758
Ho 0.233 0.738 0.209
Ho 0.262 0.262 0.791
Ho 0.262 0.767 0.791
Ho 0.738 0.233 0.209
Ho 0.738 0.738 0.209
Ho 0.767 0.262 0.791
C 0.000 0.000 0.000
C 0.000 0.500 0.000
C 0.500 0.000 0.000
C 0.500 0.500 0.000


# 8
! AlTc5 PBE optimized geometry; values from VASP
! Symmetry: Amm2
! Magnetic moment in μB per cell: 0.00
! ΔE to the lowest computed polymorph in meV/atom: 27
! Density of states at the Fermi level in states/eV per cell: 6.26
! Formation energy from the elements in meV/atom: -99
&SYSTEM
  ibrav = 0, nat = 6, ntyp = 2
/
ATOMIC_SPECIES
Al 26.98 Al.upf
Tc 98.00 Tc.upf
CELL_PARAMETERS angstrom
4.419 0.000 0.000
0.000 1.403 7.031
0.000 -1.403 7.031
ATOMIC_POSITIONS crystal
Al 0.000 0.000 0.000
Tc 0.000 0.329 0.329
Tc 0.000 0.664 0.664
Tc 0.500 0.222 0.222
Tc 0.500 0.553 0.553
Tc 0.500 0.887 0.887


# 9
! PmNdCo2 PBE optimized geometry; values from VASP
! Symmetry: P4/mmm
! Magnetic moment in μB per cell: 0.85
! ΔE to the lowest computed polymorph in meV/atom: 115
! Density of states at the Fermi level in states/eV per cell: 1.81
! Formation energy from the elements in meV/atom: 38
&SYSTEM
  ibrav = 0, nat = 4, ntyp = 3
/
ATOMIC_SPECIES
Pm 145.00 Pm.upf
Nd 144.24 Nd.upf
Co 58.93 Co.upf
CELL_PARAMETERS angstrom
4.883 0.000 0.000
0.000 4.883 0.000
0.000 0.000 3.460
ATOMIC_POSITIONS crystal
Pm 0.000 0.000 0.000
Nd 0.500 0.500 0.000
Co 0.000 0.500 0.500
Co 0.500 0.000 0.500


# 10
! CaZn2Fe PBE optimized geometry; values from VASP
! Symmetry: P4/mmm
! Magnetic moment in μB per cell: 2.33
! Density of states at the Fermi level in states/eV per cell: 5.07
! Formation energy from the elements in meV/atom: 60
&SYSTEM
  ibrav = 0, nat = 4, ntyp = 3
/
ATOMIC_SPECIES
Ca 40.08 Ca.upf
Zn 65.41 Zn.upf
Fe 55.84 Fe.upf
CELL_PARAMETERS angstrom
3.270 0.000 0.000
0.000 3.270 0.000
0.000 0.000 6.680
ATOMIC_POSITIONS crystal
Ca 0.000 0.000 0.000
Zn 0.500 0.500 0.310
Zn 0.500 0.500 0.690
Fe 0.000 0.000 0.500


# 11
! Be2AlTc PBE optimized geometry; values from VASP
! Symmetry: I-42d
! Magnetic moment in μB per cell: 0.00
! Density of states at the Fermi level in states/eV per cell: 0.00
! Formation energy from the elements in meV/atom: 204
&SYSTEM
  ibrav = 0, nat = 8, ntyp = 3
/
ATOMIC_SPECIES
Be 9.01 Be.upf
Al 26.98 Al.upf
Tc 98.00 Tc.upf
CELL_PARAMETERS angstrom
-3.137 3.137 2.468
3.137 -3.137 2.468
3.137 3.137 -2.468
ATOMIC_POSITIONS crystal
Be 0.123 0.125 0.498
Be 0.375 0.877 0.002
Be 0.627 0.625 0.502
Be 0.875 0.373 0.998
Al 0.250 0.750 0.500
Al 0.500 0.500 0.000
Tc 0.000 0.000 0.000
Tc 0.750 0.250 0.500


# 12
! SmAl2SiTc2 PBE optimized geometry; values from VASP
! Symmetry: P4/mmm
! Magnetic moment in μB per cell: 0.00
! Density of states at the Fermi level in states/eV per cell: 4.40
! E_form (uncorrected) in meV per atom: -328.7
&SYSTEM
  ibrav = 0, nat = 6, ntyp = 4
/
ATOMIC_SPECIES
Sm 150.36 Sm.upf
Al 26.98 Al.upf
Si 28.09 Si.upf
Tc 98.00 Tc.upf
CELL_PARAMETERS angstrom
4.510 0.000 0.000
0.000 4.510 0.000
0.000 0.000 5.644
ATOMIC_POSITIONS crystal
Sm 0.000 0.000 0.000
Al 0.500 0.500 0.246
Al 0.500 0.500 0.754
Si 0.000 0.000 0.500
Tc 0.000 0.500 0.500
Tc 0.500 0.000 0.500